Computed, not measured: crystalline ZnOsW2 at its relaxed geometry at the PBE level of DFT.

- formation enthalpy at 0 K (eV per atom) = 0.2189
- ρ (Mg/m³) = 16.81
- calculated total energy (eV per atom) = -9.3836
- total magnetic moment (μB per cell) = 0.00

POSCAR file:
```
ZnOsW2
1.0
-4.6793 -7.0763 -3.7758
-4.8866 -7.8195 -1.0968
-6.7178 -6.0247 -2.1911
Os W Zn
1 2 1
direct
0.7500 0.7500 0.7500
0.0014 0.0014 0.0014
0.4986 0.4986 0.4986
0.2500 0.2500 0.2500
```